AgSbSeI2 | GGA-PBE | optimized geometry

The structure in CIF format:
```
data_AgSbSeI2
_chemical_formula_sum 'Ag1 Sb1 Se1 I2'
_cell_length_a 5.9022
_cell_length_b 5.9022
_cell_length_c 5.4708
_cell_angle_alpha 90.00
_cell_angle_beta 90.00
_cell_angle_gamma 90.00
_space_group_name_H-M_alt 'P 4/m m m'
_space_group_IT_number 123
_space_group_name_Hall '-P 4 2'
loop_
_atom_site_label
_atom_site_fract_x
_atom_site_fract_y
_atom_site_fract_z
Ag1 0.0000 0.0000 0.0000
Sb1 0.5000 0.5000 0.0000
Se1 0.5000 0.5000 0.5000
I1 0.0000 0.5000 0.5000
```

Calculated values
Energy (eV/cell): -10.6
Formation energy without anion corrections (eV/atom): 0.596
Total magnetic moment (μB per cell): 1.13
Excess energy over the best structure of this formula in the dataset (eV/atom): 0.0000